No. 1
This record from the Alexandria database describes BaSeO3 after structural relaxation. The functional is PBE.

formation energy (no corrections) = 2.1 eV per formula unit

a b c (Å): 4.5710 4.5710 4.5710
angles (deg): 90.00 90.00 90.00
Space group Pm-3m (No. 221)
Asymmetric unit:
Ba: 0.0000 0.0000 0.0000 [1 per cell]
Se: 0.5000 0.5000 0.5000 [1 per cell]
O: 0.0000 0.0000 0.5000 [3 per cell]

***

No. 2
This record from the Alexandria database describes K3YbF6 after structural relaxation. The functional is PBE.

formation energy (no corrections) = -30.9 eV per formula unit

a b c (Å): 6.3766 6.6270 11.0594
angles (deg): 90.00 124.50 90.00
Space group P2_1/c (No. 14)
Asymmetric unit:
K: 0.0000 0.0000 0.0000 [2 per cell]
K: 0.2272 0.0524 0.7446 [4 per cell]
Yb: 0.5000 0.0000 0.5000 [2 per cell]
F: 0.1720 0.1785 0.4488 [4 per cell]
F: 0.2552 0.7321 0.4259 [4 per cell]
F: 0.3945 0.0614 0.2776 [4 per cell]

***

No. 3
This record from the Alexandria database describes AcCeZnSn after structural relaxation. The functional is PBE.

ΔE_f = -0.37 eV/atom

a b c (Å): 7.7994 7.7994 7.7994
angles (deg): 90.00 90.00 90.00
Space group F-43m (No. 216)
Asymmetric unit:
Ac: 0.0000 0.0000 0.0000 [4 per cell]
Ce: 0.0000 0.0000 0.5000 [4 per cell]
Zn: 0.2500 0.2500 0.7500 [4 per cell]
Sn: 0.2500 0.2500 0.2500 [4 per cell]

***

No. 4
This record from the Alexandria database describes Be3PW after structural relaxation. The functional is PBE.

relative energy among the computed polymorphs = 595.2 meV/atom
ΔE_f = 1.69 eV/atom

a b c (Å): 4.3391 4.3391 4.3391
angles (deg): 90.00 90.00 90.00
Space group Pm-3m (No. 221)
Asymmetric unit:
Be: 0.0000 0.0000 0.5000 [3 per cell]
P: 0.5000 0.5000 0.5000 [1 per cell]
W: 0.0000 0.0000 0.0000 [1 per cell]

***

No. 5
This record from the Alexandria database describes Y2BeAu after structural relaxation. The functional is PBE.

ΔE_f = -0.16 eV/atom

a b c (Å): 3.3253 3.3253 8.0246
angles (deg): 90.00 90.00 90.00
Space group P4mm (No. 99)
Asymmetric unit:
Y: 0.0000 0.0000 0.0000 [1 per cell]
Y: 0.5000 0.5000 0.3670 [1 per cell]
Be: 0.5000 0.5000 0.7533 [1 per cell]
Au: 0.0000 0.0000 0.6203 [1 per cell]

***

No. 6
This record from the Alexandria database describes Tb2Y4Ho2Sc after structural relaxation. The functional is PBE.

ΔE_f = 0.02 eV/atom

a b c (Å): 18.4965 3.5662 9.4303
angles (deg): 90.00 115.74 90.00
Space group C2/m (No. 12)
Asymmetric unit:
Tb: 0.1484 0.0000 0.1669 [4 per cell]
Y: 0.0183 0.5000 0.8285 [4 per cell]
Y: 0.1844 0.0000 0.8306 [4 per cell]
Ho: 0.1646 0.5000 0.4986 [4 per cell]
Sc: 0.0000 0.0000 0.5000 [2 per cell]

***

No. 7
This record from the Alexandria database describes Sr3ScN after structural relaxation. The functional is PBE.

formation energy (no corrections) = 8.5 eV per formula unit
relative energy among the computed polymorphs = 1690.4 meV/atom

a b c (Å): 6.1698 6.1698 6.1698
angles (deg): 90.00 90.00 90.00
Space group Pm-3m (No. 221)
Asymmetric unit:
Sr: 0.0000 0.0000 0.5000 [3 per cell]
Sc: 0.0000 0.0000 0.0000 [1 per cell]
N: 0.5000 0.5000 0.5000 [1 per cell]

***

No. 8
This record from the Alexandria database describes CePm2Lu after structural relaxation. The functional is PBE.

relative energy among the computed polymorphs = 0.0 meV/atom
ΔE_f = 0.07 eV/atom

a b c (Å): 3.5460 3.5460 10.1313
angles (deg): 90.00 90.00 90.00
Space group P4/mmm (No. 123)
Asymmetric unit:
Ce: 0.0000 0.0000 0.0000 [1 per cell]
Pm: 0.5000 0.5000 0.2476 [2 per cell]
Lu: 0.0000 0.0000 0.5000 [1 per cell]

***

No. 9
This record from the Alexandria database describes PaZnB2O8 after structural relaxation. The functional is PBE.

formation energy (no corrections) = -22.7 eV per formula unit

a b c (Å): 4.8468 4.8468 6.6737
angles (deg): 90.00 90.00 120.00
Space group P-3m1 (No. 164)
Asymmetric unit:
Pa: 0.0000 0.0000 0.0000 [1 per cell]
Zn: 0.0000 0.0000 0.5000 [1 per cell]
B: 0.3333 0.6667 0.2078 [2 per cell]
O: 0.1689 0.3378 0.2737 [6 per cell]
O: 0.3333 0.6667 0.9878 [2 per cell]

***

No. 10
This record from the Alexandria database describes Y2RhBr after structural relaxation. The functional is PBE.

formation energy (no corrections) = -4.2 eV per formula unit
relative energy among the computed polymorphs = 21.3 meV/atom

a b c (Å): 4.0186 4.0186 23.1103
angles (deg): 90.00 90.00 120.00
Space group R3m (No. 160, hexagonal axes)
Asymmetric unit:
Y: 0.0000 0.0000 0.0000 [3 per cell]
Y: 0.0000 0.0000 0.2061 [3 per cell]
Rh: 0.0000 0.0000 0.6025 [3 per cell]
Br: 0.0000 0.0000 0.4316 [3 per cell]

***

Per-record volume, A^3/atom: 19.10, 19.26, 29.65, 16.34, 22.18, 31.13, 46.97, 31.85, 11.31, 26.93